First-principles (PBE) data for TaHgAsO after structural relaxation, as listed in OQMD.

Cell lengths 3.6027, 3.6027, 11.2356 Å; angles 90.00, 90.00, 90.00 degrees
Last column: nearest neighbours and their distance in Å.
Sites, in units of the cell vectors:
Ta1 0.5000 0.0000 0.1109  4 O 2.19
Hg1 0.0000 0.0000 0.5000  4 Hg 2.55
Ta2 0.0000 0.5000 0.8891  4 O 2.19
As1 0.5000 0.0000 0.7723  4 Ta 2.87, 4 O 3.13
O1 0.5000 0.5000 0.0000  4 Ta 2.19
O2 0.0000 0.0000 0.0000  4 Ta 2.19
As2 0.0000 0.5000 0.2277  4 Ta 2.87, 4 O 3.13
Hg2 0.5000 0.5000 0.5000  4 Hg 2.55

Output
For the total energy, the calculation gives -6.04 eV per atom.